Entry 1:
The following is a GGA-PBE calculation of an optimized crystal structure of CuSb2AuO, from the Alexandria database.

Summary:
Energy relative to the elements, uncorrected = -0.03 eV per atom
Uncorrected energy = -4.148 eV per atom
Size of the total moment = 0.000 μB/f.u.

Cell: 4.962 4.962 3.806 Å, 90.00 90.00 90.00°
Fractional positions:
Cu  0.000  0.000  0.000
Sb  0.000  0.500  0.500
Sb  0.500  0.000  0.500
Au  0.500  0.500  0.000
O  0.000  0.000  0.500

***

Entry 2:
The following is a GGA-PBE calculation of an optimized crystal structure of ScCuAuO4, from the Alexandria database.

Summary:
Energy relative to the elements, uncorrected = -1.25 eV per atom
Uncorrected energy = -6.044 eV per atom
Size of the total moment = 1.021 μB/f.u.

Cell: 6.579 6.579 6.579 Å, 124.61 122.81 83.70°
Fractional positions:
Sc  0.000  0.000  0.000
Sc  0.500  0.000  0.500
Cu  0.355  0.605  0.750
Cu  0.645  0.395  0.250
Au  0.000  0.000  0.500
Au  0.000  0.500  0.000
O  0.192  0.226  0.965
O  0.239  0.774  0.465
O  0.285  0.256  0.471
O  0.285  0.814  0.029
O  0.715  0.186  0.971
O  0.715  0.744  0.529
O  0.761  0.226  0.535
O  0.808  0.774  0.035

***

Entry 3:
The following is a GGA-PBE calculation of an optimized crystal structure of SmCu4Au3O12, from the Alexandria database.

Summary:
Energy relative to the elements, uncorrected = -0.69 eV per atom
Uncorrected energy = -5.213 eV per atom
Size of the total moment = 0.000 μB/f.u.

Cell: 6.556 6.556 6.556 Å, 109.47 109.47 109.47°
Fractional positions:
Sm  0.000  0.000  0.000
Cu  0.000  0.000  0.500
Cu  0.000  0.500  0.000
Cu  0.500  0.000  0.000
Cu  0.500  0.500  0.500
Au  0.000  0.500  0.500
Au  0.500  0.000  0.500
Au  0.500  0.500  0.000
O  0.120  0.295  0.826
O  0.174  0.469  0.295
O  0.174  0.880  0.705
O  0.295  0.174  0.469
O  0.295  0.826  0.120
O  0.469  0.295  0.174
O  0.531  0.705  0.826
O  0.705  0.174  0.880
O  0.705  0.826  0.531
O  0.826  0.120  0.295
O  0.826  0.531  0.705
O  0.880  0.705  0.174